(1)
YMnSi2Ag (PBE, optimized geometry); raw formation energy = -0.0280 eV/atom; calculated total energy = -5.89 eV per atom; symmetry = No. 123
1.0
4.353 0.000 0.000
0.000 4.353 0.000
0.000 0.000 4.984
Y Mn Si Ag
1 1 2 1
Direct
0.000 0.000 0.000
0.500 0.500 0.500
0.000 0.500 0.500
0.500 0.000 0.500
0.500 0.500 0.000

---

(2)
Tb2UNi (PBE, optimized geometry); calculated total energy = -6.18 eV per atom; symmetry = No. 166; energy of formation from the pure elements = 0.40 eV/atom
1.0
3.269 0.000 0.000
-1.634 2.831 0.000
0.000 0.000 31.409
Tb U Ni
6 3 3
Direct
0.000 0.000 0.104
0.000 0.000 0.896
0.333 0.667 0.563
0.333 0.667 0.770
0.667 0.333 0.230
0.667 0.333 0.437
0.000 0.000 0.000
0.333 0.667 0.667
0.667 0.333 0.333
0.000 0.000 0.500
0.333 0.667 0.167
0.667 0.333 0.833

---

(3)
BaSnP2O6 (PBE, optimized geometry); raw formation energy = -1.9631 eV/atom; calculated total energy = -6.61 eV per atom; symmetry = No. 15
1.0
4.699 -5.757 0.000
4.699 5.757 0.000
-1.698 0.000 6.387
Ba Sn P O
2 2 4 12
Direct
0.144 0.856 0.750
0.856 0.144 0.250
0.394 0.606 0.250
0.606 0.394 0.750
0.053 0.349 0.788
0.349 0.053 0.288
0.651 0.947 0.712
0.947 0.651 0.212
0.118 0.200 0.645
0.118 0.593 0.341
0.200 0.118 0.145
0.207 0.528 0.896
0.407 0.882 0.159
0.472 0.793 0.604
0.528 0.207 0.396
0.593 0.118 0.841
0.793 0.472 0.104
0.800 0.882 0.855
0.882 0.407 0.659
0.882 0.800 0.355

---

(4)
BaMgRh2 (PBE, optimized geometry); calculated total energy = -4.76 eV per atom; symmetry = No. 8; energy of formation from the pure elements = -0.20 eV/atom
1.0
7.799 0.000 0.000
0.000 4.503 0.000
-2.616 0.000 5.719
Ba Mg Rh
2 2 4
Direct
0.000 0.000 0.000
0.500 0.500 0.000
0.314 0.500 0.440
0.814 0.000 0.440
0.025 0.500 0.574
0.195 0.000 0.585
0.525 0.000 0.574
0.695 0.500 0.585

---

(5)
Y2SiGeRh6 (PBE, optimized geometry); raw formation energy = -0.5244 eV/atom; calculated total energy = -7.23 eV per atom; symmetry = No. 225
1.0
0.000 4.515 4.515
4.515 0.000 4.515
4.515 4.515 0.000
Y Si Ge Rh
2 1 1 6
Direct
0.250 0.250 0.250
0.750 0.750 0.750
0.000 0.000 0.000
0.500 0.500 0.500
0.245 0.245 0.755
0.245 0.755 0.245
0.245 0.755 0.755
0.755 0.245 0.245
0.755 0.245 0.755
0.755 0.755 0.245

---

(6)
V2CuW (PBE, optimized geometry); calculated total energy = -8.72 eV per atom; symmetry = No. 123; distance to the lowest polymorph of the same formula = 23 meV per atom; energy of formation from the pure elements = 0.11 eV/atom
1.0
4.156 0.000 0.000
0.000 4.156 0.000
0.000 0.000 3.201
V Cu W
2 1 1
Direct
0.000 0.500 0.000
0.500 0.000 0.000
0.000 0.000 0.500
0.500 0.500 0.500

---

(7)
DyEr4Sc (PBE, optimized geometry); calculated total energy = -4.72 eV per atom; symmetry = No. 15; distance to the lowest polymorph of the same formula = 0 meV per atom; energy of formation from the pure elements = 0.14 eV/atom
1.0
4.347 -7.184 0.000
4.347 7.184 0.000
-2.161 0.000 5.842
Dy Er Sc
2 8 2
Direct
0.088 0.912 0.750
0.912 0.088 0.250
0.084 0.332 0.876
0.211 0.597 0.461
0.332 0.084 0.376
0.403 0.789 0.039
0.597 0.211 0.961
0.668 0.916 0.624
0.789 0.403 0.539
0.916 0.668 0.124
0.500 0.500 0.250
0.500 0.500 0.750

---

(8)
Mn2CuPb (PBE, optimized geometry); calculated total energy = -6.13 eV per atom; symmetry = No. 6; energy of formation from the pure elements = 0.41 eV/atom
1.0
3.144 0.000 0.000
0.000 3.183 0.000
-0.051 0.000 6.926
Mn Cu Pb
2 1 1
Direct
0.000 0.000 0.000
0.497 0.500 0.780
0.503 0.500 0.185
0.998 0.000 0.476

---

(9)
Dy2Tm8Al (PBE, optimized geometry); calculated total energy = -4.47 eV per atom; symmetry = No. 12; energy of formation from the pure elements = -0.04 eV/atom
1.0
9.470 -2.699 0.000
9.470 2.699 0.000
-0.489 0.000 6.284
Dy Tm Al
2 8 1
Direct
0.243 0.243 0.333
0.757 0.757 0.667
0.043 0.043 0.256
0.154 0.154 0.810
0.342 0.342 0.876
0.422 0.422 0.398
0.578 0.578 0.602
0.658 0.658 0.124
0.846 0.846 0.190
0.957 0.957 0.744
0.500 0.500 0.000

---

(10)
PmZnSnPd (PBE, optimized geometry); calculated total energy = -4.42 eV per atom; symmetry = No. 216; energy of formation from the pure elements = -0.61 eV/atom
1.0
6.943 0.000 0.000
0.000 6.943 0.000
0.000 0.000 6.943
Pm Zn Sn Pd
4 4 4 4
Direct
0.000 0.000 0.000
0.000 0.500 0.500
0.500 0.000 0.500
0.500 0.500 0.000
0.250 0.250 0.750
0.250 0.750 0.250
0.750 0.250 0.250
0.750 0.750 0.750
0.000 0.000 0.500
0.000 0.500 0.000
0.500 0.000 0.000
0.500 0.500 0.500
0.250 0.250 0.250
0.250 0.750 0.750
0.750 0.250 0.750
0.750 0.750 0.250

---

(11)
SiSb2Au (PBE, optimized geometry); raw formation energy = 0.1885 eV/atom; calculated total energy = -4.05 eV per atom; symmetry = No. 65
1.0
5.871 0.000 0.000
0.000 8.156 0.000
0.000 0.000 3.906
Si Sb Au
2 4 2
Direct
0.000 0.000 0.000
0.500 0.500 0.000
0.000 0.246 0.500
0.000 0.754 0.500
0.500 0.254 0.500
0.500 0.746 0.500
0.000 0.500 0.000
0.500 0.000 0.000

---

(12)
YBeFe (PBE, optimized geometry); calculated total energy = -6.27 eV per atom; symmetry = No. 129; distance to the lowest polymorph of the same formula = 0 meV per atom; energy of formation from the pure elements = -0.05 eV/atom
1.0
4.095 0.000 0.000
0.000 4.095 0.000
0.000 0.000 5.841
Y Be Fe
2 2 2
Direct
0.250 0.250 0.180
0.750 0.750 0.820
0.250 0.250 0.646
0.750 0.750 0.354
0.250 0.750 0.500
0.750 0.250 0.500

---

(13)
KY (PBE, optimized geometry); calculated total energy = -3.35 eV per atom; symmetry = No. 8; energy of formation from the pure elements = 0.43 eV/atom
1.0
15.330 0.000 0.000
0.000 3.680 0.000
-2.366 0.000 9.770
K Y
6 6
Direct
0.000 0.000 0.000
0.064 0.000 0.592
0.324 0.000 0.653
0.500 0.500 0.000
0.564 0.500 0.592
0.824 0.500 0.653
0.183 0.500 0.298
0.241 0.500 0.995
0.369 0.000 0.263
0.683 0.000 0.298
0.741 0.000 0.995
0.869 0.500 0.263